Record 1
CsZnCl | PBE-GGA | relaxed

Values from the calculation:
**Theoretical density**: 3.3 Mg/m³
**ΔE to the lowest computed polymorph**: 0.0762 eV/atom

Lattice parameters (Å, degrees): 5.0798 7.0977 7.7501 113.92 108.75 90.56
Sites, in units of the cell vectors:
Cs (0.0000, 0.0000, 0.0000)
Cs (0.3318, 0.3516, 0.6648)
Zn (0.1205, 0.6240, 0.2338)
Zn (0.6162, 0.6056, 0.2256)
Cl (0.3260, 0.8465, 0.6485)
Cl (0.6699, 0.2687, 0.3375)

***

Record 2
RbCdIn4Sn2 | PBE-GGA | relaxed

Values from the calculation:
**Theoretical density**: 5.8 Mg/m³
**DFT formation energy**: -16 meV per atom

Lattice parameters (Å, degrees): 10.8609 10.8609 10.8609 28.42 28.42 28.42
Sites, in units of the cell vectors:
Rb (0.0000, 0.0000, 0.0000)
Cd (0.5000, 0.5000, 0.5000)
In (0.1325, 0.1325, 0.1325)
In (0.4044, 0.4044, 0.4044)
In (0.5956, 0.5956, 0.5956)
In (0.8675, 0.8675, 0.8675)
Sn (0.2342, 0.2342, 0.2342)
Sn (0.7658, 0.7658, 0.7658)

***

Record 3
Ta3TlBr | PBE-GGA | relaxed

Values from the calculation:
**Theoretical density**: 9.9 Mg/m³
**ΔE to the lowest computed polymorph**: 1.0843 eV/atom

Lattice parameters (Å, degrees): 5.1731 5.1731 5.1731 90.00 90.00 90.00
Sites, in units of the cell vectors:
Ta (0.0000, 0.0000, 0.5000)
Ta (0.0000, 0.5000, 0.0000)
Ta (0.5000, 0.0000, 0.0000)
Tl (0.0000, 0.0000, 0.0000)
Br (0.5000, 0.5000, 0.5000)

***

Record-wise M_tot values, in μB per formula unit: 0.000; 0.000; 0.002
Record-wise V values, in Å³/cell: 239; 256; 138